A geometry-optimized BeCdTe2 structure, computed with PBE-GGA.

Calculated values
Magnetic moment ... 0.00 μB per atom
Polymorph energy (0 for the lowest one) ... 453 meV per atom
Crystal system ... trigonal
Formation energy (no corrections) ... 0.07 eV per atom

Cell: 8.4761 8.4761 8.4761 Å, 27.37 27.37 27.37°
Sites, in units of the cell vectors:
Be 0.5000 0.5000 0.5000
Te 0.8882 0.8882 0.8882
Te 0.1118 0.1118 0.1118
Cd 0.0000 0.0000 0.0000